Record 1
## Sm3TmMg2 (GGA-PBE)

Data for a geometry-optimized Sm3TmMg2 structure.

- Total DFT energy (no corrections): -3.683 eV/atom
- ΔE_f: -0.047 eV/atom
- Total magnetic moment: 0.0 μB/f.u.
- N(E_F): 7.3 states/eV per cell

Cell lengths 3.764, 3.764, 12.578 Å; angles 90.00, 90.00, 90.00 degrees
Fractional positions:
Sm 0.000 0.000 0.000
Sm 0.000 0.000 0.312
Sm 0.000 0.000 0.688
Tm 0.500 0.500 0.500
Mg 0.500 0.500 0.156
Mg 0.500 0.500 0.844

Record 2
## Sm3Tm3Mg (GGA-PBE)

Data for a geometry-optimized Sm3Tm3Mg structure.

- Total DFT energy (no corrections): -4.154 eV/atom
- Energy relative to the lowest polymorph listed for this composition: 0 meV per atom
- ΔE_f: 0.013 eV/atom
- Total magnetic moment: 0.5 μB/f.u.
- N(E_F): 22.7 states/eV per cell

Cell lengths 9.464, 9.464, 5.589 Å; angles 90.00, 90.00, 120.00 degrees
Fractional positions:
Sm 0.102 0.629 0.250
Sm 0.371 0.472 0.250
Sm 0.472 0.102 0.750
Sm 0.528 0.898 0.250
Sm 0.629 0.528 0.750
Sm 0.898 0.371 0.750
Tm 0.053 0.818 0.750
Tm 0.182 0.234 0.750
Tm 0.234 0.053 0.250
Tm 0.766 0.947 0.750
Tm 0.818 0.766 0.250
Tm 0.947 0.182 0.250
Mg 0.333 0.667 0.750
Mg 0.667 0.333 0.250